# CePm3Pt8

A geometry-optimized CePm3Pt8 structure (PBE-GGA, Alexandria).

Formation energy from the elements ... -1.061 eV per atom
Distance to the lowest polymorph of the same formula ... 0 meV/atom

a = 5.4985 Å, b = 5.4985 Å, c = 26.9442 Å
α = 90.00°, β = 90.00°, γ = 120.00°
Space group R3m (No. 160, hexagonal axes)
Inequivalent atoms, fractional coordinates:
Ce 0.0000 0.0000 0.0000 x3
Pm 0.0000 0.0000 0.3742 x3
Pm 0.0000 0.0000 0.4992 x3
Pm 0.0000 0.0000 0.8746 x3
Pt 0.0000 0.0000 0.1871 x3
Pt 0.0000 0.0000 0.6870 x3
Pt 0.0000 0.5000 0.4370 x9
Pt 0.9999 0.4999 0.9371 x9

# LuHgPb2

A geometry-optimized LuHgPb2 structure (PBE-GGA, Alexandria).

Formation energy from the elements ... -0.125 eV per atom
Distance to the lowest polymorph of the same formula ... 96 meV/atom

a = 4.047 Å, b = 4.047 Å, c = 6.809 Å
α = 90.00°, β = 90.00°, γ = 90.00°
Space group P4/mmm (No. 123)
Inequivalent atoms, fractional coordinates:
Lu 0.000 0.000 0.000 x1
Hg 0.000 0.000 0.500 x1
Pb 0.500 0.500 0.246 x2

# Ag2SCl

A geometry-optimized Ag2SCl structure (PBE-GGA, Alexandria).

Distance to the lowest polymorph of the same formula ... 136 meV/atom
Energy relative to the elements, uncorrected ... -0.044 eV/atom

a = 3.9017 Å, b = 3.9017 Å, c = 22.3457 Å
α = 90.00°, β = 90.00°, γ = 120.00°
Space group R-3m (No. 166, hexagonal axes)
Inequivalent atoms, fractional coordinates:
Ag 0.0000 0.0000 0.1094 x6
S 0.0000 0.0000 0.5000 x3
Cl 0.0000 0.0000 0.0000 x3

# ReNiMo2

A geometry-optimized ReNiMo2 structure (PBE-GGA, Alexandria).

Formation energy from the elements ... 0.074 eV per atom
Distance to the lowest polymorph of the same formula ... 49 meV/atom

a = 3.234 Å, b = 4.239 Å, c = 8.466 Å
α = 90.00°, β = 90.00°, γ = 90.00°
Space group Cmm2 (No. 35)
Inequivalent atoms, fractional coordinates:
Re 0.000 0.000 0.000 x2
Ni 0.000 0.500 0.231 x2
Mo 0.000 0.000 0.469 x2
Mo 0.000 0.500 0.737 x2

# Sr2Hg2Sb

A geometry-optimized Sr2Hg2Sb structure (PBE-GGA, Alexandria).

Distance to the lowest polymorph of the same formula ... 82 meV/atom
Energy relative to the elements, uncorrected ... -0.547 eV/atom

a = 4.271 Å, b = 4.271 Å, c = 18.544 Å
α = 90.00°, β = 90.00°, γ = 90.00°
Space group I4/mmm (No. 139)
Inequivalent atoms, fractional coordinates:
Sr 0.000 0.000 0.096 x4
Hg 0.000 0.500 0.250 x4
Sb 0.000 0.000 0.500 x2

# Ca3TlIn

A geometry-optimized Ca3TlIn structure (PBE-GGA, Alexandria).

Formation energy from the elements ... -0.380 eV per atom
Distance to the lowest polymorph of the same formula ... 0 meV/atom

a = 5.494 Å, b = 20.985 Å, c = 5.493 Å
α = 90.00°, β = 90.00°, γ = 90.00°
Space group Cmcm (No. 63)
Inequivalent atoms, fractional coordinates:
Ca 0.000 0.068 0.250 x4
Ca 0.000 0.250 0.250 x4
Ca 0.000 0.431 0.250 x4
Tl 0.000 0.346 0.750 x4
In 0.000 0.154 0.750 x4